The following is a DFT calculation (PBE) of an optimized crystal structure of KNaSeBr2.

```
KNaSeBr2
1.0
-4.4267 -3.5284 -2.4729
-1.1849 -2.4118 5.5623
-4.0254 4.3341 1.0218
Br K Se Na
2 1 1 1
Cartesian
-2.2134 -1.7642 -1.2364
-0.5924 -1.2059 2.7812
0.0000 0.0000 0.0000
-2.0127 2.1671 0.5109
-4.8185 -0.8030 2.0556
```

Results
electronic total energy	-2.31	eV per atom
M_tot	2.03	μB per formula unit
formation energy from raw total energies	-0.456	eV/atom
excess energy over the best structure of this formula in the dataset	0.277	eV/atom